Computed, not measured: Cs8Sb2O after structural relaxation at the GGA-PBE level of DFT.

V ... 48.17 Å³/atom
Formation energy (no corrections) ... -5.189 eV/f.u.

abc: 10.9145 10.9145 8.2514
angles: 111.87 111.87 35.86
Sites, in units of the cell vectors:
Cs: 0.0026 0.0026 0.2447
Cs: 0.2185 0.2185 0.2036
Cs: 0.3771 0.3771 0.6531
Cs: 0.3903 0.3903 0.1255
Cs: 0.6097 0.6097 0.8745
Cs: 0.6229 0.6229 0.3469
Cs: 0.7815 0.7815 0.7964
Cs: 0.9974 0.9974 0.7553
Sb: 0.1666 0.1666 0.6662
Sb: 0.8334 0.8334 0.3338
O: 0.5000 0.5000 0.0000